Here is an optimized crystal structure of LiCuTeI2 from Alexandria. Energies are from PBE.

Summary:
offset from the most stable computed form: 43.3 meV per atom
calculated volume: 40.3 A^3/atom
space-group type: P4/mmm
E_form (uncorrected): -29 meV per atom

Cell and atoms, written as POSCAR:
```
LiCuTeI2
1.0
6.5028 0.0000 0.0000
0.0000 4.7681 0.0000
0.0000 0.0000 6.5028
Te Li I Cu
1 1 2 1
Direct
0.0000 0.0000 0.0000 Te
0.5000 0.5000 0.5000 Li
0.0000 0.0000 0.5000 I
0.5000 0.0000 0.0000 I
0.0000 0.5000 0.0000 Cu
```


Here is an optimized crystal structure of LiCuTeI2 from Alexandria. Energies are from PBE.

Summary:
offset from the most stable computed form: 0.0 meV per atom
calculated volume: 32.3 A^3/atom
space-group type: P4/mmm
E_form (uncorrected): -72 meV per atom

Cell and atoms, written as POSCAR:
```
LiCuTeI2
1.0
5.6046 0.0000 0.0000
0.0000 5.6046 0.0000
0.0000 0.0000 5.1458
I Te Li Cu
2 1 1 1
Direct
0.0000 0.5000 0.0000 I
0.5000 0.0000 0.0000 I
0.0000 0.0000 0.5000 Te
0.5000 0.5000 0.5000 Li
0.0000 0.0000 0.0000 Cu
```